Er4ZnNi3: optimized geometry, PBE.

Summary:
**Formation enthalpy at 0 K**: -0.44 eV/atom
**Mass density**: 9.3 g/cm3
**Space group**: No. 25
**DFT total energy**: -5.0503 eV/atom

Cell: 3.6641 4.2987 10.2771 Å, 90.00 90.00 90.00°
Closest atoms and distances in Å follow each position.
Fractional coordinates of all 8 atoms:
Er1 0.0000 0.0000 0.0000  6 Ni 2.79-2.89, 1 Zn 3.07
Er2 0.0000 0.5000 0.2669  7 Ni 2.82-2.99
Er3 0.5000 0.0000 0.4787  5 Ni 2.81-2.94, 2 Zn 2.93
Er4 0.5000 0.5000 0.7751  3 Ni 2.88-2.91, 4 Zn 2.92
Zn1 0.0000 0.0000 0.7010  2 Ni 2.60
Ni1 0.0000 0.5000 0.5583  2 Zn 2.60, 2 Er 2.88
Ni2 0.5000 0.0000 0.2048  2 Ni 2.62, 7 Er 2.79-2.90
Ni3 0.5000 0.5000 0.0585  2 Ni 2.62, 7 Er 2.82-2.91